SnCI2F: PBEsol geometry, meta-GGA SCAN.

The crystal system is tetragonal. For the total energy, the calculation gives -23.893 eV/atom. The uncorrected formation energy is 716 meV/atom.

CIF file:
```
data_SnCI2F
_chemical_formula_sum 'Sn1 C1 I2 F1'
_symmetry_space_group_name_H-M 'P 4/m m m'
_symmetry_Int_Tables_number 123
_symmetry_space_group_name_Hall '-P 4 2'
_cell_length_a 5.850
_cell_length_b 5.850
_cell_length_c 4.298
_cell_angle_alpha 90.00
_cell_angle_beta 90.00
_cell_angle_gamma 90.00
loop_
_atom_site_label
_atom_site_type_symbol
_atom_site_fract_x
_atom_site_fract_y
_atom_site_fract_z
_atom_site_occupancy
Sn1 Sn 0.000 0.000 0.000 1
C1 C 0.500 0.500 0.500 1
I1 I 0.000 0.500 0.000 1
F1 F 0.000 0.000 0.500 1
```